La2Tb4Y2Er: relaxed, PBE.

```
data_La2Tb4Y2Er
_chemical_formula_sum 'La4 Tb8 Y4 Er2'
_space_group_name_H-M_alt 'C 1 2/m 1'
_space_group_IT_number 12
_space_group_name_Hall '-C 2y'
_cell_length_a 18.823
_cell_length_b 3.632
_cell_length_c 9.639
_cell_angle_alpha 90.00
_cell_angle_beta 115.68
_cell_angle_gamma 90.00
loop_
_atom_site_label
_atom_site_type_symbol
_atom_site_fract_x
_atom_site_fract_y
_atom_site_fract_z
_atom_site_occupancy
La1 La 0.165 0.000 0.000 1
Tb1 Tb 0.020 0.000 0.335 1
Tb2 Tb 0.185 0.500 0.337 1
Y1 Y 0.146 0.500 0.662 1
Er1 Er 0.000 0.500 0.000 1
```

E ... -5.095 eV per atom
Volume ... 594.0 Å³/cell
DFT formation energy ... 0.0010 eV/atom